1.
The following is a DFT calculation (PBE) of an optimized crystal structure of Zr6Ga16Rh7.

calculated volume = 478.1 Å³ per cell
energy of formation from the pure elements = -0.660 eV/atom
DOS at the Fermi energy = 0.7238 states/eV/atom

Cell: 8.7771 8.7771 8.7771 Å, 60.00 60.00 60.00°
Closest atoms and distances in Å follow each position.
Positions (direct):
Zr: 0.1983 0.1983 0.8017  8 Ga 2.78-3.09
Zr: 0.1983 0.8017 0.1983  8 Ga 2.78-3.09
Zr: 0.1983 0.8017 0.8017  8 Ga 2.78-3.09
Zr: 0.8017 0.1983 0.1983  8 Ga 2.78-3.09
Zr: 0.8017 0.1983 0.8017  8 Ga 2.78-3.09
Zr: 0.8017 0.8017 0.1983  8 Ga 2.78-3.09
Ga: 0.1317 0.6228 0.6228  4 Rh 2.64-2.70, 3 Ga 2.81
Ga: 0.1554 0.1554 0.1554  3 Rh 2.55, 3 Zr 2.78, 3 Ga 2.81
Ga: 0.1554 0.1554 0.5337  3 Rh 2.55, 3 Zr 2.78, 3 Ga 2.81
Ga: 0.1554 0.5337 0.1554  3 Rh 2.55, 3 Zr 2.78, 3 Ga 2.81
Ga: 0.3772 0.3772 0.3772  4 Rh 2.64-2.70, 3 Ga 2.81
Ga: 0.3772 0.3772 0.8683  4 Rh 2.64-2.70, 3 Ga 2.81
Ga: 0.3772 0.8683 0.3772  4 Rh 2.64-2.70, 3 Ga 2.81
Ga: 0.4663 0.8446 0.8446  3 Rh 2.55, 3 Zr 2.78, 3 Ga 2.81
Ga: 0.5337 0.1554 0.1554  3 Rh 2.55, 3 Zr 2.78, 3 Ga 2.81
Ga: 0.6228 0.1317 0.6228  4 Rh 2.64-2.70, 3 Ga 2.81
Ga: 0.6228 0.6228 0.1317  4 Rh 2.64-2.70, 3 Ga 2.81
Ga: 0.6228 0.6228 0.6228  4 Rh 2.64-2.70, 3 Ga 2.81
Ga: 0.8446 0.4663 0.8446  3 Rh 2.55, 3 Zr 2.78, 3 Ga 2.81
Ga: 0.8446 0.8446 0.4663  3 Rh 2.55, 3 Zr 2.78, 3 Ga 2.81
Ga: 0.8446 0.8446 0.8446  3 Rh 2.55, 3 Zr 2.78, 3 Ga 2.81
Ga: 0.8683 0.3772 0.3772  4 Rh 2.64-2.70, 3 Ga 2.81
Rh: 0.0000 0.0000 0.5000  8 Ga 2.55-2.70
Rh: 0.0000 0.5000 0.0000  8 Ga 2.55-2.70
Rh: 0.0000 0.5000 0.5000  8 Ga 2.55-2.70
Rh: 0.5000 0.0000 0.0000  8 Ga 2.55-2.70
Rh: 0.5000 0.0000 0.5000  8 Ga 2.55-2.70
Rh: 0.5000 0.5000 0.0000  8 Ga 2.55-2.70
Rh: 0.5000 0.5000 0.5000  8 Ga 2.64



2.
The following is a DFT calculation (PBE) of an optimized crystal structure of ZrGa3Rh2.

calculated volume = 201.7 Å³ per cell
energy of formation from the pure elements = -0.565 eV/atom
DOS at the Fermi energy = 0.5074 states/eV/atom

Cell: 7.7852 7.7852 7.7852 Å, 149.40 121.82 67.17°
Closest atoms and distances in Å follow each position.
Positions (direct):
Zr: 0.1297 0.1297 0.0000  6 Rh 2.95-3.11, 8 Ga 2.96-3.07
Zr: 0.8703 0.8703 0.0000  6 Rh 2.95-3.11, 8 Ga 2.96-3.07
Ga: 0.1051 0.3202 0.7849  4 Rh 2.49-2.74
Ga: 0.3385 0.0000 0.3385  2 Rh 2.42, 1 Ga 2.45
Ga: 0.4647 0.6798 0.7849  4 Rh 2.49-2.74
Ga: 0.5353 0.3202 0.2151  4 Rh 2.49-2.74
Ga: 0.6615 0.0000 0.6615  2 Rh 2.42, 1 Ga 2.45
Ga: 0.8949 0.6798 0.2151  4 Rh 2.49-2.74
Rh: 0.1695 0.5000 0.6695  4 Ga 2.42-2.49, 1 Rh 2.57
Rh: 0.3095 0.8095 0.5000  8 Ga 2.62-2.76
Rh: 0.6905 0.1905 0.5000  8 Ga 2.62-2.76
Rh: 0.8305 0.5000 0.3305  4 Ga 2.42-2.49, 1 Rh 2.57



3.
The following is a DFT calculation (PBE) of an optimized crystal structure of ZrGa5Rh6.

calculated volume = 175.8 Å³ per cell
energy of formation from the pure elements = -0.742 eV/atom
DOS at the Fermi energy = 0.3131 states/eV/atom

Cell: 6.6944 6.6944 6.5514 Å, 90.00 90.00 143.21°
Closest atoms and distances in Å follow each position.
Positions (direct):
Zr: 0.0000 0.0000 0.0000  8 Rh 2.74, 4 Ga 2.99
Ga: 0.0000 0.0000 0.5000  8 Rh 2.61-2.69
Ga: 0.3330 0.6670 0.0000  8 Rh 2.66-2.75
Ga: 0.3345 0.6655 0.5000  8 Rh 2.60-2.65
Ga: 0.6655 0.3345 0.5000  8 Rh 2.60-2.65
Ga: 0.6670 0.3330 0.0000  8 Rh 2.66-2.75
Rh: 0.1703 0.8297 0.2560  7 Ga 2.63-2.70, 1 Zr 2.74, 2 Rh 2.93
Rh: 0.1703 0.8297 0.7440  7 Ga 2.63-2.70, 1 Zr 2.74, 2 Rh 2.93
Rh: 0.5000 0.5000 0.2668  6 Ga 2.60-2.75, 2 Zr 2.74
Rh: 0.5000 0.5000 0.7332  6 Ga 2.60-2.75, 2 Zr 2.74
Rh: 0.8297 0.1703 0.2560  7 Ga 2.63-2.70, 1 Zr 2.74, 2 Rh 2.93
Rh: 0.8297 0.1703 0.7440  7 Ga 2.63-2.70, 1 Zr 2.74, 2 Rh 2.93



4.
The following is a DFT calculation (PBE) of an optimized crystal structure of Zr2GaRh.

calculated volume = 78.2 Å³ per cell
energy of formation from the pure elements = -0.368 eV/atom
DOS at the Fermi energy = 0.7199 states/eV/atom

Cell: 8.6181 8.6181 8.6181 Å, 21.92 21.92 21.92°
Closest atoms and distances in Å follow each position.
Positions (direct):
Zr: 0.2467 0.2467 0.2467  3 Rh 2.77, 3 Ga 2.89
Zr: 0.7533 0.7533 0.7533  3 Rh 2.77, 3 Ga 2.89
Ga: 0.0000 0.0000 0.0000  6 Zr 2.89
Rh: 0.5000 0.5000 0.5000  6 Zr 2.77



5.
The following is a DFT calculation (PBE) of an optimized crystal structure of Zr2GaRh.

calculated volume = 160.2 Å³ per cell
energy of formation from the pure elements = -0.216 eV/atom
DOS at the Fermi energy = 1.1886 states/eV/atom

Cell: 6.0038 6.0038 6.0038 Å, 103.46 103.46 122.30°
Closest atoms and distances in Å follow each position.
Positions (direct):
Zr: 0.0978 0.1250 0.4728  2 Rh 2.59, 2 Ga 2.87
Zr: 0.3750 0.9022 0.0272  2 Rh 2.59, 2 Ga 2.87
Zr: 0.6522 0.6250 0.5272  2 Rh 2.59, 2 Ga 2.87
Zr: 0.8750 0.3478 0.9728  2 Rh 2.59, 2 Ga 2.87
Ga: 0.2500 0.7500 0.5000  4 Zr 2.87, 2 Rh 2.90
Ga: 0.5000 0.5000 0.0000  4 Zr 2.87, 2 Rh 2.90
Rh: 0.0000 0.0000 0.0000  4 Zr 2.59, 2 Ga 2.90
Rh: 0.7500 0.2500 0.5000  4 Zr 2.59, 2 Ga 2.90



6.
The following is a DFT calculation (PBE) of an optimized crystal structure of Zr6GaRh.

calculated volume = 164.4 Å³ per cell
energy of formation from the pure elements = -0.319 eV/atom
DOS at the Fermi energy = 1.2489 states/eV/atom

Cell: 5.4779 5.4791 5.4873 Å, 91.98 92.05 92.18°
Closest atoms and distances in Å follow each position.
Positions (direct):
Zr: 0.0022 0.2533 0.0163  2 Zr 2.72-2.77, 1 Rh 2.94, 1 Ga 3.03
Zr: 0.2463 0.9814 0.4971  2 Zr 2.72-2.78, 1 Rh 2.92
Zr: 0.4828 0.4989 0.7472  2 Zr 2.73-2.77, 1 Rh 2.93, 1 Ga 3.03
Zr: 0.5172 0.5011 0.2528  2 Zr 2.73-2.77, 1 Rh 2.93, 1 Ga 3.03
Zr: 0.7537 0.0186 0.5029  2 Zr 2.72-2.78, 1 Rh 2.92
Zr: 0.9978 0.7467 0.9837  2 Zr 2.72-2.77, 1 Rh 2.94, 1 Ga 3.03
Ga: 0.5000 0.0000 0.0000  12 Zr 3.03-3.11
Rh: 0.0000 0.5000 0.5000  12 Zr 2.92-3.19



7.
The following is a DFT calculation (PBE) of an optimized crystal structure of ZrGa3Rh.

calculated volume = 332.2 Å³ per cell
energy of formation from the pure elements = -0.551 eV/atom
DOS at the Fermi energy = 0.3544 states/eV/atom

Cell: 8.2674 5.5149 7.3272 Å, 90.00 96.10 90.00°
Closest atoms and distances in Å follow each position.
Positions (direct):
Zr: 0.1193 0.1232 0.1903  9 Ga 2.86-3.18, 1 Rh 2.87
Zr: 0.1193 0.3768 0.6903  9 Ga 2.86-3.18, 1 Rh 2.87
Zr: 0.8807 0.6232 0.3097  9 Ga 2.86-3.18, 1 Rh 2.87
Zr: 0.8807 0.8768 0.8097  9 Ga 2.86-3.18, 1 Rh 2.87
Ga: 0.1207 0.6240 0.0556  4 Ga 2.48-2.74
Ga: 0.1207 0.8760 0.5556  4 Ga 2.48-2.74
Ga: 0.2770 0.6072 0.3647  3 Ga 2.49-2.74, 3 Rh 2.55-2.69
Ga: 0.2770 0.8928 0.8647  3 Ga 2.49-2.74, 3 Rh 2.55-2.69
Ga: 0.3812 0.1642 0.4993  4 Rh 2.58-2.63, 3 Ga 2.67-2.74
Ga: 0.3812 0.3358 0.9993  4 Rh 2.58-2.63, 3 Ga 2.67-2.74
Ga: 0.6188 0.6642 0.0007  4 Rh 2.58-2.63, 3 Ga 2.67-2.74
Ga: 0.6188 0.8358 0.5007  4 Rh 2.58-2.63, 3 Ga 2.67-2.74
Ga: 0.7230 0.1072 0.1353  3 Ga 2.49-2.74, 3 Rh 2.55-2.69
Ga: 0.7230 0.3928 0.6353  3 Ga 2.49-2.74, 3 Rh 2.55-2.69
Ga: 0.8793 0.1240 0.4444  4 Ga 2.48-2.74
Ga: 0.8793 0.3760 0.9444  4 Ga 2.48-2.74
Rh: 0.4455 0.5563 0.6971  7 Ga 2.55-2.69
Rh: 0.4455 0.9437 0.1971  7 Ga 2.55-2.69
Rh: 0.5545 0.0563 0.8029  7 Ga 2.55-2.69
Rh: 0.5545 0.4437 0.3029  7 Ga 2.55-2.69



8.
The following is a DFT calculation (PBE) of an optimized crystal structure of ZrGa3Rh.

calculated volume = 130.0 Å³ per cell
energy of formation from the pure elements = 1.056 eV/atom
DOS at the Fermi energy = 0.8946 states/eV/atom

Cell: 5.0663 5.0663 5.0663 Å, 90.00 90.00 90.00°
Closest atoms and distances in Å follow each position.
Positions (direct):
Zr: 0.0000 0.0000 0.0000  6 Ga 2.53
Ga: 0.0000 0.0000 0.5000  2 Zr 2.53
Ga: 0.0000 0.5000 0.0000  2 Zr 2.53
Ga: 0.5000 0.0000 0.0000  2 Zr 2.53
Rh: 0.5000 0.5000 0.5000  12 Ga 3.58



9.
The following is a DFT calculation (PBE) of an optimized crystal structure of Zr2GaRh5.

calculated volume = 250.9 Å³ per cell
energy of formation from the pure elements = -0.834 eV/atom
DOS at the Fermi energy = 0.7303 states/eV/atom

Cell: 5.5767 11.0291 4.0796 Å, 90.00 90.00 90.00°
Closest atoms and distances in Å follow each position.
Positions (direct):
Zr: 0.1899 0.1382 0.0000  10 Rh 2.75-2.83, 2 Ga 3.08
Zr: 0.3101 0.6382 0.0000  10 Rh 2.75-2.83, 2 Ga 3.08
Zr: 0.6899 0.3618 0.0000  10 Rh 2.75-2.83, 2 Ga 3.08
Zr: 0.8101 0.8618 0.0000  10 Rh 2.75-2.83, 2 Ga 3.08
Ga: 0.0000 0.5000 0.5000  8 Rh 2.61-2.79
Ga: 0.5000 0.0000 0.5000  8 Rh 2.61-2.79
Rh: 0.0000 0.0000 0.5000  4 Zr 2.76, 2 Ga 2.79, 6 Rh 2.81-2.92
Rh: 0.0593 0.7474 0.5000  1 Ga 2.75, 4 Zr 2.75-2.77, 7 Rh 2.79-2.92
Rh: 0.1950 0.3897 0.0000  2 Ga 2.61, 4 Zr 2.77-2.83, 6 Rh 2.91-2.92
Rh: 0.3050 0.8897 0.0000  2 Ga 2.61, 4 Zr 2.77-2.83, 6 Rh 2.91-2.92
Rh: 0.4407 0.2474 0.5000  1 Ga 2.75, 4 Zr 2.75-2.77, 7 Rh 2.79-2.92
Rh: 0.5000 0.5000 0.5000  4 Zr 2.76, 2 Ga 2.79, 6 Rh 2.81-2.92
Rh: 0.5593 0.7526 0.5000  1 Ga 2.75, 4 Zr 2.75-2.77, 7 Rh 2.79-2.92
Rh: 0.6950 0.1103 0.0000  2 Ga 2.61, 4 Zr 2.77-2.83, 6 Rh 2.91-2.92
Rh: 0.8050 0.6103 0.0000  2 Ga 2.61, 4 Zr 2.77-2.83, 6 Rh 2.91-2.92
Rh: 0.9407 0.2526 0.5000  1 Ga 2.75, 4 Zr 2.75-2.77, 7 Rh 2.79-2.92



10.
The following is a DFT calculation (PBE) of an optimized crystal structure of ZrGa3Rh.

calculated volume = 101.1 Å³ per cell
energy of formation from the pure elements = 0.014 eV/atom
DOS at the Fermi energy = 0.8105 states/eV/atom

Cell: 4.6583 4.6583 4.6583 Å, 90.00 90.00 90.00°
Closest atoms and distances in Å follow each position.
Positions (direct):
Zr: 0.0000 0.0000 0.0000  12 Ga 3.29
Ga: 0.0000 0.5000 0.5000  2 Rh 2.33
Ga: 0.5000 0.0000 0.5000  2 Rh 2.33
Ga: 0.5000 0.5000 0.0000  2 Rh 2.33
Rh: 0.5000 0.5000 0.5000  6 Ga 2.33



11.
The following is a DFT calculation (PBE) of an optimized crystal structure of Zr2Ga3Rh4.

calculated volume = 143.7 Å³ per cell
energy of formation from the pure elements = -0.753 eV/atom
DOS at the Fermi energy = 0.3744 states/eV/atom

Cell: 4.7221 4.7221 8.3554 Å, 101.32 101.32 52.25°
Closest atoms and distances in Å follow each position.
Positions (direct):
Zr: 0.1791 0.1791 0.2217  7 Rh 2.73-2.87, 5 Ga 2.90-2.98
Zr: 0.8209 0.8209 0.7783  7 Rh 2.73-2.87, 5 Ga 2.90-2.98
Ga: 0.1484 0.1484 0.5698  1 Ga 2.53, 4 Rh 2.67-2.76
Ga: 0.5000 0.5000 0.0000  8 Rh 2.74-2.84, 4 Zr 2.97
Ga: 0.8516 0.8516 0.4302  1 Ga 2.53, 4 Rh 2.67-2.76
Rh: 0.1589 0.1589 0.8916  4 Ga 2.67-2.84, 4 Zr 2.73-2.81, 2 Rh 2.96
Rh: 0.4760 0.4760 0.6647  6 Ga 2.72-2.89, 3 Zr 2.74-2.87, 3 Rh 2.87-3.01
Rh: 0.5240 0.5240 0.3353  6 Ga 2.72-2.89, 3 Zr 2.74-2.87, 3 Rh 2.87-3.01
Rh: 0.8411 0.8411 0.1084  4 Ga 2.67-2.84, 4 Zr 2.73-2.81, 2 Rh 2.96